[1]
VASP calculation (PBE) on an optimized crystal structure of Dy4Sc5Tl6.

Unit cell a=11.1006 b=11.1006 c=15.2904 alpha=90.00 beta=90.00 gamma=154.39
With the nearest neighbours (Å) after each atom.
Positions (direct):
Dy 0.0387 0.9613 0.5000  7 Tl 3.47-3.51, 5 Sc 3.58-3.79, 2 Dy 3.77-3.82
Dy 0.0386 0.9614 0.7755  7 Tl 3.47-3.49, 5 Sc 3.58-3.79, 2 Dy 3.77-3.82
Dy 0.1529 0.8471 0.9617  6 Tl 3.02-3.26
Dy 0.1540 0.8460 0.3150  6 Tl 3.02-3.26
Dy 0.8460 0.1540 0.8150  6 Tl 3.02-3.26
Dy 0.8471 0.1529 0.4617  6 Tl 3.02-3.26
Dy 0.9613 0.0387 0.0000  7 Tl 3.47-3.51, 5 Sc 3.58-3.79, 2 Dy 3.77-3.82
Dy 0.9614 0.0386 0.2755  7 Tl 3.47-3.49, 5 Sc 3.58-3.79, 2 Dy 3.77-3.82
Sc 0.1737 0.8263 0.6376  4 Tl 2.96-2.97, 1 Sc 3.24
Sc 0.3232 0.6768 0.6386  4 Tl 2.91-3.09, 2 Sc 3.14-3.24
Sc 0.3290 0.6710 0.9761  5 Tl 2.94-3.20
Sc 0.3296 0.6704 0.2997  5 Tl 2.94-3.20
Sc 0.4682 0.5318 0.6372  3 Tl 2.77-2.80
Sc 0.5318 0.4682 0.1372  3 Tl 2.77-2.80
Sc 0.6704 0.3296 0.7997  5 Tl 2.94-3.20
Sc 0.6710 0.3290 0.4761  5 Tl 2.94-3.20
Sc 0.6768 0.3232 0.1386  4 Tl 2.91-3.09, 2 Sc 3.14-3.24
Sc 0.8263 0.1737 0.1376  4 Tl 2.96-2.97, 1 Sc 3.24
Tl 0.0907 0.9093 0.1388  4 Sc 2.77-3.09, 2 Dy 3.02
Tl 0.2503 0.7497 0.7987  5 Sc 2.91-3.20, 2 Dy 3.23
Tl 0.2514 0.7486 0.4775  5 Sc 2.91-3.20, 3 Dy 3.23-3.26
Tl 0.4027 0.5973 0.1377  5 Sc 2.80-2.96
Tl 0.4354 0.5646 0.8419  2 Sc 3.08-3.21, 1 Tl 3.11, 2 Dy 3.16
Tl 0.4362 0.5638 0.4332  2 Sc 3.08-3.19, 1 Tl 3.11, 2 Dy 3.16
Tl 0.5638 0.4362 0.9332  2 Sc 3.08-3.19, 1 Tl 3.11, 2 Dy 3.16
Tl 0.5646 0.4354 0.3419  2 Sc 3.08-3.21, 1 Tl 3.11, 2 Dy 3.16
Tl 0.5973 0.4027 0.6377  5 Sc 2.80-2.96
Tl 0.7486 0.2514 0.9775  5 Sc 2.91-3.20, 3 Dy 3.23-3.26
Tl 0.7497 0.2503 0.2987  5 Sc 2.91-3.20, 2 Dy 3.23
Tl 0.9093 0.0907 0.6388  4 Sc 2.77-3.09, 2 Dy 3.02

Computed properties:
Its total energy is -4.482 eV per atom.

=====

[2]
VASP calculation (PBE) on an optimized crystal structure of Na2SmUTe4.

Unit cell a=7.7398 b=4.4696 c=8.0185 alpha=90.00 beta=108.81 gamma=90.00
With the nearest neighbours (Å) after each atom.
Positions (direct):
Na 0.0000 0.0000 0.0000  6 Te 3.27
Na 0.5000 0.5000 0.0000  6 Te 3.25-3.26
Sm 0.0000 0.5000 0.5000  6 Te 3.15
U 0.5000 0.0000 0.5000  6 Te 3.14
Te 0.2477 0.0000 0.7377  1 U 3.14, 2 Sm 3.15, 3 Na 3.25-3.27
Te 0.2562 0.5000 0.2637  2 U 3.14, 1 Sm 3.15, 3 Na 3.26-3.27
Te 0.7438 0.5000 0.7363  2 U 3.14, 1 Sm 3.15, 3 Na 3.26-3.27
Te 0.7523 0.0000 0.2623  1 U 3.14, 2 Sm 3.15, 3 Na 3.25-3.27

Computed properties:
For the energy relative to the elements, uncorrected, the calculation gives -8.30 eV/f.u.